[1]
A plane-wave DFT calculation with PBE was carried out for an optimized crystal structure of K2BaAlSn.

Output
Symmetry = No. 123
ΔE_f = 0.381 eV/atom

a b c (Å): 6.6486 6.6486 6.6732
angles (deg): 90.00 90.00 90.00
Each line ends with the local moment (μB).
Fractional coordinates of all 5 atoms:
Ba 0.0000 0.0000 0.5000  0.07
Sn 0.0000 0.0000 0.0000  -0.08
Al 0.5000 0.5000 0.5000  0.12
K 0.0000 0.5000 0.0000  0.00
K 0.5000 0.0000 0.0000  0.00

---

[2]
A plane-wave DFT calculation with PBE was carried out for an optimized crystal structure of K2BaAlSn2.

Output
Symmetry = No. 26
ΔE_f = -0.249 eV/atom

a b c (Å): 5.0087 8.6513 10.0405
angles (deg): 90.00 90.00 90.00
Fractional coordinates of all 12 atoms:
Al 0.5000 0.1570 0.6621
Al 0.5000 0.6570 0.3379
K 0.0000 0.8352 0.8494
K 0.5000 0.0058 0.0865
K 0.5000 0.5058 0.9135
K 0.0000 0.3352 0.1506
Sn 0.0000 0.7244 0.1986
Sn 0.5000 0.8065 0.6082
Sn 0.5000 0.3065 0.3918
Sn 0.0000 0.2244 0.8014
Ba 0.0000 0.0166 0.4495
Ba 0.0000 0.5166 0.5505

---

[3]
A plane-wave DFT calculation with PBE was carried out for an optimized crystal structure of KBaSr2Al.

Output
Symmetry = No. 123
ΔE_f = 0.080 eV/atom

a b c (Å): 6.5363 6.5363 6.6688
angles (deg): 90.00 90.00 90.00
Fractional coordinates of all 5 atoms:
Al 0.0000 0.0000 0.0000
Sr 0.5000 0.0000 0.0000
Sr 0.0000 0.5000 0.0000
Ba 0.0000 0.0000 0.5000
K 0.5000 0.5000 0.5000

---

[4]
A plane-wave DFT calculation with PBE was carried out for an optimized crystal structure of KBa2SrAl.

Output
Symmetry = No. 123
ΔE_f = 0.085 eV/atom

a b c (Å): 6.7646 6.7646 6.5469
angles (deg): 90.00 90.00 90.00
Fractional coordinates of all 5 atoms:
Sr 0.0000 0.0000 0.5000
Ba 0.5000 0.0000 0.0000
Ba 0.0000 0.5000 0.0000
K 0.5000 0.5000 0.5000
Al 0.0000 0.0000 0.0000

---

[5]
A plane-wave DFT calculation with PBE was carried out for an optimized crystal structure of KBaSrAl.

Output
Symmetry = No. 216
ΔE_f = 0.096 eV/atom

a b c (Å): 6.1513 6.1513 6.1513
angles (deg): 60.00 60.00 60.00
Fractional coordinates of all 4 atoms:
Al 0.2500 0.2500 0.2500
K 0.7500 0.7500 0.7500
Sr 0.0000 0.0000 0.0000
Ba 0.5000 0.5000 0.5000

---

[6]
A plane-wave DFT calculation with PBE was carried out for an optimized crystal structure of KBaAl2Tc.

Output
Symmetry = No. 123
ΔE_f = 1.537 eV/atom

a b c (Å): 6.1369 6.1369 5.4707
angles (deg): 90.00 90.00 90.00
Each line ends with the local moment (μB).
Fractional coordinates of all 5 atoms:
Al 0.0000 0.5000 0.0000  -0.04
Al 0.5000 0.0000 0.0000  -0.04
K 0.5000 0.5000 0.5000  0.00
Tc 0.0000 0.0000 0.5000  2.41
Ba 0.0000 0.0000 0.0000  -0.16

---

[7]
A plane-wave DFT calculation with PBE was carried out for an optimized crystal structure of BaLaAl.

Output
Distance to the lowest polymorph of the same formula = 0.199 eV/atom
Symmetry = No. 1
ΔE_f = 0.013 eV/atom

a b c (Å): 5.5426 4.0376 9.5388
angles (deg): 89.91 106.78 90.00
Fractional coordinates of all 6 atoms:
La 0.4692 0.5636 0.8473
La 0.8446 0.5381 0.6034
Al 0.9877 0.0477 0.8839
Al 0.3076 0.0496 0.5307
Ba 0.1322 0.5444 0.1771
Ba 0.6769 0.0442 0.2669

---

[8]
A plane-wave DFT calculation with PBE was carried out for an optimized crystal structure of BaLaAl.

Output
Distance to the lowest polymorph of the same formula = 0.103 eV/atom
Symmetry = No. 8
ΔE_f = -0.083 eV/atom

a b c (Å): 5.5809 5.5795 7.9914
angles (deg): 89.98 89.97 60.09
Fractional coordinates of all 6 atoms:
Al 0.5177 0.3492 0.9836
Al 0.8523 0.6832 0.5772
La 0.1837 0.0156 0.7963
La 0.5186 0.3496 0.5866
Ba 0.8513 0.6827 0.0580
Ba 0.1852 0.0164 0.3076

---

[9]
A plane-wave DFT calculation with PBE was carried out for an optimized crystal structure of Ba2LaAl2.

Output
Symmetry = No. 127
ΔE_f = -0.042 eV/atom

a b c (Å): 8.2357 8.2357 5.5303
angles (deg): 90.00 90.00 90.00
Fractional coordinates of all 10 atoms:
La 0.0000 0.0000 0.0000
La 0.5000 0.5000 0.0000
Ba 0.3284 0.1716 0.5000
Ba 0.6716 0.8284 0.5000
Ba 0.1716 0.6716 0.5000
Ba 0.8284 0.3284 0.5000
Al 0.1152 0.3848 0.0000
Al 0.6152 0.1152 0.0000
Al 0.8848 0.6152 0.0000
Al 0.3848 0.8848 0.0000

---

[10]
A plane-wave DFT calculation with PBE was carried out for an optimized crystal structure of BaLaAl.

Output
Distance to the lowest polymorph of the same formula = 0.105 eV/atom
Symmetry = No. 107
ΔE_f = -0.081 eV/atom

a b c (Å): 7.6027 7.6027 4.0080
angles (deg): 74.72 74.72 30.57
Fractional coordinates of all 3 atoms:
Al 0.0162 0.0162 0.9838
La 0.6234 0.6234 0.3766
Ba 0.3604 0.3604 0.6396

---

[11]
A plane-wave DFT calculation with PBE was carried out for an optimized crystal structure of BaLa2Al.

Output
Symmetry = No. 119
ΔE_f = 0.027 eV/atom

a b c (Å): 6.3784 6.3784 6.3784
angles (deg): 133.55 133.55 67.79
Fractional coordinates of all 4 atoms:
La 0.0000 0.0000 0.0000
La 0.2500 0.7500 0.5000
Al 0.5000 0.5000 0.0000
Ba 0.7500 0.2500 0.5000

---

[12]
A plane-wave DFT calculation with PBE was carried out for an optimized crystal structure of BaLaAl.

Output
Distance to the lowest polymorph of the same formula = 0.077 eV/atom
Symmetry = No. 2
ΔE_f = -0.109 eV/atom

a b c (Å): 5.8439 4.9638 8.3555
angles (deg): 90.09 99.11 64.89
Fractional coordinates of all 6 atoms:
La 0.3087 0.6345 0.7930
La 0.7275 0.9251 0.6434
Al 0.9696 0.3045 0.8830
Al 0.0667 0.2551 0.5535
Ba 0.3437 0.6159 0.3392
Ba 0.6927 0.9436 0.0972

---

[13]
A plane-wave DFT calculation with PBE was carried out for an optimized crystal structure of BaLaAl.

Output
Distance to the lowest polymorph of the same formula = 0.011 eV/atom
Symmetry = No. 8
ΔE_f = -0.175 eV/atom

a b c (Å): 4.2026 12.0493 4.8198
angles (deg): 101.54 89.99 79.70
Fractional coordinates of all 6 atoms:
La 0.7890 0.2132 0.5303
La 0.4264 0.9535 0.4005
Al 0.3128 0.1714 0.0094
Al 0.8879 0.0251 0.9363
Ba 0.0514 0.7189 0.7833
Ba 0.6893 0.4433 0.1454

---

[14]
A plane-wave DFT calculation with PBE was carried out for an optimized crystal structure of BaLaAl3.

Output
Distance to the lowest polymorph of the same formula = 0.000 eV/atom
Symmetry = No. 221
ΔE_f = 0.518 eV/atom

a b c (Å): 5.7099 5.7099 5.7099
angles (deg): 90.00 90.00 90.00
Fractional coordinates of all 5 atoms:
La 0.0000 0.0000 0.0000
Al 0.0000 0.0000 0.5000
Al 0.5000 0.0000 0.0000
Al 0.0000 0.5000 0.0000
Ba 0.5000 0.5000 0.5000

---

[15]
A plane-wave DFT calculation with PBE was carried out for an optimized crystal structure of BaLaAl.

Output
Distance to the lowest polymorph of the same formula = 0.117 eV/atom
Symmetry = No. 8
ΔE_f = -0.069 eV/atom

a b c (Å): 6.2550 6.2550 6.8498
angles (deg): 106.13 73.87 126.21
Fractional coordinates of all 6 atoms:
Al 0.7939 0.5919 0.5884
Al 0.5754 0.8104 0.8927
La 0.2755 0.1103 0.8490
La 0.4670 0.9187 0.4345
Ba 0.8738 0.5120 0.0611
Ba 0.1233 0.2625 0.4835